Density functional theory data (GGA-PBE) for Li2Pu3Rh4 after structural relaxation.

Output
* Fermi-level density of states: 2.276 states/eV per atom
* E above lowest polymorph: 0.0431 eV/atom
* energy: -8.763 eV/atom
* crystal system: monoclinic

Geometry as CIF:
```
data_Li2Pu3Rh4
_cell_length_a 12.8141
_cell_length_b 9.8233
_cell_length_c 5.1643
_cell_angle_alpha 90.00
_cell_angle_beta 93.28
_cell_angle_gamma 90.00
_space_group_name_H-M_alt 'C 1 2/c 1'
_space_group_IT_number 15
loop_
_space_group_symop_operation_xyz
'x,y,z'
'-x,-y,-z'
'-x,y,-z+1/2'
'x,-y,z+1/2'
'x+1/2,y+1/2,z'
'-x+1/2,-y+1/2,-z'
'-x+1/2,y+1/2,-z+1/2'
'x+1/2,-y+1/2,z+1/2'
loop_
_atom_site_label
_atom_site_type_symbol
_atom_site_fract_x
_atom_site_fract_y
_atom_site_fract_z
Li1 Li 0.2258 0.1453 0.3807
Pu1 Pu 0.0000 0.0919 0.2500
Pu2 Pu 0.1330 0.3906 0.0672
Rh1 Rh 0.0701 0.3090 0.5498
Rh2 Rh 0.1599 0.1057 0.8596
```